1.
## LiCoBr2 (PBE)

Data for an optimized crystal structure of LiCoBr2.

Properties
Magnetic moment   2.0 μB/f.u.
V   26.600 A^3/atom
Distance to the lowest polymorph of the same formula   0.180 eV per atom

POSCAR file:
```
LiCoBr2
1.0
3.5871 0.0000 0.0000
0.0000 3.6052 0.0000
0.0000 0.0000 8.2274
Li Co Br
1 1 2
direct
0.0000 0.0000 0.0000
0.0000 0.5000 0.5000
0.5000 0.0000 0.5000
0.5000 0.5000 0.0000
```



2.
## LiCoBr2 (PBE)

Data for an optimized crystal structure of LiCoBr2.

Properties
Magnetic moment   2.0 μB/f.u.
V   28.500 A^3/atom
Distance to the lowest polymorph of the same formula   0.111 eV per atom

POSCAR file:
```
LiCoBr2
1.0
5.4449 0.0000 0.0000
0.0000 3.6260 0.0000
-0.3739 0.0000 5.7741
Li Co Br
1 1 2
direct
0.0000 0.0000 0.0000
0.0000 0.0000 0.5000
0.2089 0.5000 0.7410
0.7911 0.5000 0.2590
```